# AcPmAu2 PBE relaxed
# Energy relative to the lowest polymorph listed for this composition (meV per atom): 0.0
# Formation energy (eV per atom): -0.798
# Total magnetic moment (Bohr magnetons per cell): 0.000
data_AcPmAu2
_chemical_formula_sum 'Ac1 Pm1 Au2'
_cell_length_a 4.053
_cell_length_b 4.868
_cell_length_c 6.111
_cell_angle_alpha 90.00
_cell_angle_beta 109.25
_cell_angle_gamma 90.00
_space_group_name_H-M_alt 'P 1 m 1'
_space_group_IT_number 6
loop_
_space_group_symop_operation_xyz
'x,y,z'
'x,-y,z'
loop_
_atom_site_label
_atom_site_type_symbol
_atom_site_fract_x
_atom_site_fract_y
_atom_site_fract_z
Ac1 Ac 0.000 0.000 0.000
Pm1 Pm 0.273 0.500 0.546
Au1 Au 0.551 0.500 0.102
Au2 Au 0.724 0.000 0.450


# LiRh2Br6 PBE relaxed
# Total magnetic moment (Bohr magnetons per cell): 2.090
# Raw formation energy (eV per atom): -0.56
data_LiRh2Br6
_chemical_formula_sum 'Li2 Rh4 Br12'
_cell_length_a 13.026
_cell_length_b 3.830
_cell_length_c 10.854
_cell_angle_alpha 90.00
_cell_angle_beta 116.89
_cell_angle_gamma 90.00
_space_group_name_H-M_alt 'C 1 2/m 1'
_space_group_IT_number 12
loop_
_space_group_symop_operation_xyz
'x,y,z'
'-x,-y,-z'
'-x,y,-z'
'x,-y,z'
'x+1/2,y+1/2,z'
'-x+1/2,-y+1/2,-z'
'-x+1/2,y+1/2,-z'
'x+1/2,-y+1/2,z'
loop_
_atom_site_label
_atom_site_type_symbol
_atom_site_fract_x
_atom_site_fract_y
_atom_site_fract_z
Li1 Li 0.000 0.000 0.000
Rh1 Rh 0.165 0.500 0.336
Br1 Br 0.019 0.000 0.261
Br2 Br 0.164 0.500 0.106
Br3 Br 0.182 0.500 0.577


# VCrTc2 PBE relaxed
# Formation energy (eV per atom): 0.590
# Total magnetic moment (Bohr magnetons per cell): 0.034
data_VCrTc2
_chemical_formula_sum 'V4 Cr4 Tc8'
_cell_length_a 6.755
_cell_length_b 6.755
_cell_length_c 5.110
_cell_angle_alpha 90.00
_cell_angle_beta 90.00
_cell_angle_gamma 90.00
_space_group_name_H-M_alt 'I -4 2 d'
_space_group_IT_number 122
_space_group_name_Hall 'I -4 2bw'
loop_
_atom_site_label
_atom_site_type_symbol
_atom_site_fract_x
_atom_site_fract_y
_atom_site_fract_z
V1 V 0.000 0.000 0.000
Cr1 Cr 0.000 0.000 0.500
Tc1 Tc 0.236 0.250 0.625


# LiZn2Br PBE relaxed
# Energy relative to the lowest polymorph listed for this composition (meV per atom): 554.0
# Total magnetic moment (Bohr magnetons per cell): 0.000
# Raw formation energy (eV per atom): 0.10
data_LiZn2Br
_chemical_formula_sum 'Li4 Zn8 Br4'
_cell_length_a 7.457
_cell_length_b 7.457
_cell_length_c 7.457
_cell_angle_alpha 90.00
_cell_angle_beta 90.00
_cell_angle_gamma 90.00
_space_group_name_H-M_alt 'F m -3 m'
_space_group_IT_number 225
_space_group_name_Hall '-F 4 2 3'
loop_
_atom_site_label
_atom_site_type_symbol
_atom_site_fract_x
_atom_site_fract_y
_atom_site_fract_z
Li1 Li 0.000 0.000 0.000
Zn1 Zn 0.250 0.250 0.250
Br1 Br 0.000 0.000 0.500